! KBaEuWO6 | Alexandria via LeMat-Bulk | GGA+U | relaxed; values from VASP
&SYSTEM
  ibrav = 0, nat = 10, ntyp = 5
/
ATOMIC_SPECIES
K 39.10 K.upf
Ba 137.33 Ba.upf
Eu 151.96 Eu.upf
W 183.84 W.upf
O 16.00 O.upf
ATOMIC_POSITIONS crystal
K 0.000 0.000 0.000
Ba 0.500 0.500 0.500
Eu 0.250 0.250 0.250
W 0.750 0.750 0.750
O 0.521 0.521 0.979
O 0.521 0.979 0.521
O 0.521 0.979 0.979
O 0.979 0.521 0.521
O 0.979 0.521 0.979
O 0.979 0.979 0.521
CELL_PARAMETERS angstrom
0.000 4.278 4.278
4.278 0.000 4.278
4.278 4.278 0.000
! space-group type = F-43m (216)
! total energy = -7.4710 eV/atom